Th2AgIrPb after structural relaxation, computed with PBE-GGA.

```
Th2AgIrPb
1.0
7.943 0.000 0.000
0.000 4.300 0.000
-2.742 0.000 7.663
Th Ag Ir Pb
4 2 2 2
direct
0.009 0.250 0.212
0.340 0.750 0.605
0.660 0.250 0.395
0.991 0.750 0.788
0.353 0.250 0.947
0.647 0.750 0.053
0.100 0.250 0.610
0.900 0.750 0.390
0.325 0.750 0.186
0.675 0.250 0.814
```

ΔE_f ... -0.481 eV per atom